Compound: Na3TlAg
Source: Alexandria via LeMat-Bulk
Functional: SCAN
Structure: PBEsol geometry

Summary:
Its energy of formation is 148 meV/atom. The uncorrected energy comes out at -23.1258 eV/atom. For the volume, the calculation gives 32.84 Å³/atom.

Lattice parameters (Å, degrees): 5.476 5.476 5.476 90.00 90.00 90.00
Space group Pm-3m (No. 221)
Symmetry-distinct sites (fractional):
1 Na 0.000 0.000 0.500 (multiplicity 3)
2 Tl 0.500 0.500 0.500 (multiplicity 1)
3 Ag 0.000 0.000 0.000 (multiplicity 1)